Entry from the Alexandria database: ReTcSe after structural relaxation (PBE).

Values from the calculation:
Excess energy over the best structure of this formula in the dataset, eV per atom: 0.000
Calculated volume, Å³/atom: 15.08
Space group: No. 107
Energy relative to the elements, uncorrected, meV per atom: 180

a b c (Å): 5.530 5.530 5.530
angles (deg): 148.80 148.80 44.71
Positions (direct):
Re: 0.002 0.002 0.000
Se: 0.333 0.333 0.000
Tc: 0.664 0.664 0.000

Entry from the Alexandria database: Pm2SmPu3Se6 after structural relaxation (PBE).

Values from the calculation:
Calculated volume, Å³/atom: 25.55
Space group: No. 12
Energy relative to the elements, uncorrected, meV per atom: -1701

a b c (Å): 4.155 8.351 9.328
angles (deg): 103.33 102.87 90.00
Last column: magnetic moment on the atom in μB.
Positions (direct):
Pm: 0.833 0.666 0.667  0.03
Pm: 0.167 0.334 0.333  0.03
Sm: 0.500 0.000 0.000  0.04
Pu: 0.500 0.500 0.000  5.46
Pu: 0.833 0.167 0.666  5.45
Pu: 0.167 0.833 0.334  5.45
Se: 0.333 0.920 0.666  -0.05
Se: 0.665 0.586 0.331  -0.05
Se: 0.667 0.080 0.334  -0.05
Se: 0.999 0.251 0.997  -0.04
Se: 0.001 0.749 0.003  -0.04
Se: 0.335 0.414 0.669  -0.05

Entry from the Alexandria database: LiNb3Zn after structural relaxation (PBE).

Values from the calculation:
Excess energy over the best structure of this formula in the dataset, eV per atom: 0.000
Energy of formation, meV/atom: 993.9
Calculated volume, Å³/atom: 17.09
Space group: No. 221

a b c (Å): 4.404 4.404 4.404
angles (deg): 90.00 90.00 90.00
Positions (direct):
Nb: 0.000 0.500 0.000
Nb: 0.000 0.000 0.500
Nb: 0.500 0.000 0.000
Zn: 0.500 0.500 0.500
Li: 0.000 0.000 0.000

Entry from the Alexandria database: CeY2ThSe4 after structural relaxation (PBE).

Values from the calculation:
Calculated volume, Å³/atom: 25.17
Space group: No. 10
Energy relative to the elements, uncorrected, meV per atom: -1723

a b c (Å): 4.096 7.324 7.091
angles (deg): 71.14 90.00 90.00
Last column: magnetic moment on the atom in μB.
Positions (direct):
Ce: 0.500 0.500 0.000  0.78
Y: 0.000 0.000 0.000  0.00
Y: 0.500 0.000 0.500  -0.01
Th: 0.000 0.500 0.500  0.02
Se: 0.000 0.762 0.747  -0.01
Se: 0.000 0.238 0.253  -0.01
Se: 0.500 0.763 0.245  0.00
Se: 0.500 0.237 0.755  0.00

Entry from the Alexandria database: InHg4 after structural relaxation (PBE).

Values from the calculation:
Excess energy over the best structure of this formula in the dataset, eV per atom: 0.000
Energy of formation, meV/atom: -0.3
Calculated volume, Å³/atom: 26.88
Space group: No. 1

a b c (Å): 5.065 5.896 11.842
angles (deg): 113.46 101.68 113.48
Positions (direct):
In: 0.095 0.248 0.752
In: 0.504 0.452 0.349
Hg: 0.696 0.549 0.648
Hg: 0.107 0.756 0.249
Hg: 0.894 0.649 0.949
Hg: 0.904 0.150 0.452
Hg: 0.706 0.053 0.152
Hg: 0.301 0.351 0.050
Hg: 0.494 0.944 0.851
Hg: 0.299 0.849 0.550

Entry from the Alexandria database: MnAlCu14 after structural relaxation (PBE).

Values from the calculation:
Energy of formation, meV/atom: -10.7
Calculated volume, Å³/atom: 12.23
Space group: No. 38

a b c (Å): 5.175 5.175 8.384
angles (deg): 90.00 90.00 119.39
Last column: magnetic moment on the atom in μB.
Positions (direct):
Mn: 0.541 0.459 0.500  3.34
Al: 0.045 0.955 0.500  -0.03
Cu: 0.206 0.794 0.000  -0.02
Cu: 0.708 0.292 0.000  0.00
Cu: 0.042 0.457 0.500  0.05
Cu: 0.205 0.292 0.000  0.01
Cu: 0.543 0.958 0.500  0.05
Cu: 0.708 0.795 0.000  0.01
Cu: 0.377 0.126 0.753  0.03
Cu: 0.377 0.126 0.247  0.03
Cu: 0.874 0.623 0.753  0.03
Cu: 0.874 0.623 0.247  0.03
Cu: 0.374 0.626 0.753  0.04
Cu: 0.374 0.626 0.247  0.04
Cu: 0.876 0.124 0.749  0.00
Cu: 0.876 0.124 0.251  0.00

Summary of Fermi-level density of states in states/eV/atom
0.429, 2.292, 1.687, 1.021, 0.232, 0.458
(order as listed above)